w) MgTcRu | meta-GGA SCAN | PBEsol geometry

It has space group Fmm2 (No. 42), with a = 2.9262 Å, b = 4.5355 Å, c = 13.4539 Å, α = 90.00°, β = 90.00° and γ = 90.00°. Symmetry generates all atoms from Mg at (0.0000, 0.0000, 0.0000), Tc at (0.0000, 0.0000, 0.3236) and Ru at (0.0000, 0.0000, 0.6704).

For the density of states at the Fermi level, the calculation gives 9.33 states/eV/cell.



x) MgTcRu | meta-GGA SCAN | PBEsol geometry

It has space group F-43m (No. 216), with a = 5.8675 Å, b = 5.8675 Å, c = 5.8675 Å, α = 90.00°, β = 90.00° and γ = 90.00°. Symmetry generates all atoms from Mg at (0.0000, 0.0000, 0.0000), Tc at (0.2500, 0.2500, 0.2500) and Ru at (0.0000, 0.0000, 0.5000).

For the density of states at the Fermi level, the calculation gives 13.55 states/eV/cell.



Quick look at relative energies in eV/atom: w) 0.000; x) 0.255.



w) Mg2RuW | meta-GGA SCAN | PBEsol geometry

It has space group Pm (No. 6), with a = 2.8120 Å, b = 4.3192 Å, c = 5.4994 Å, α = 90.00°, β = 101.29° and γ = 90.00°. Symmetry generates all atoms from Mg at (0.0000, 0.0000, 0.0000), Mg at (0.2939, 0.5000, 0.7394), Ru at (0.7552, 0.5000, 0.2698) and W at (0.5871, 0.0000, 0.4642).

For the density of states at the Fermi level, the calculation gives 3.09 states/eV/cell.



x) Mg2RuW | meta-GGA SCAN | PBEsol geometry

It has space group R-3m (No. 166, hexagonal axes), with a = 2.8205 Å, b = 2.8205 Å, c = 27.7074 Å, α = 90.00°, β = 90.00° and γ = 120.00°. Symmetry generates all atoms from Mg at (0.0000, 0.0000, 0.2453), Ru at (0.0000, 0.0000, 0.5000) and W at (0.0000, 0.0000, 0.0000).

For the density of states at the Fermi level, the calculation gives 7.28 states/eV/cell.



Quick look at relative energies in eV/atom: w) 0.000; x) 0.142.



w) Sm2MgS4 | meta-GGA SCAN | PBEsol geometry

It has space group Fd-3m (No. 227, origin choice 2), with a = 11.2394 Å, b = 11.2394 Å, c = 11.2394 Å, α = 90.00°, β = 90.00° and γ = 90.00°. Symmetry generates all atoms from Sm at (0.0000, 0.0000, 0.0000), Mg at (0.1250, 0.1250, 0.6250) and S at (0.0034, 0.0034, 0.2466).

For the density of states at the Fermi level, the calculation gives 0.00 states/eV/cell.



x) Sm2MgS4 | meta-GGA SCAN | PBEsol geometry

It has space group I-42d (No. 122), with a = 8.1430 Å, b = 8.1430 Å, c = 8.5300 Å, α = 90.00°, β = 90.00° and γ = 90.00°. Symmetry generates all atoms from Sm at (0.1270, 0.2500, 0.1250), Mg at (0.0000, 0.0000, 0.5000) and S at (0.0708, 0.1920, 0.8046).

For the density of states at the Fermi level, the calculation gives 0.00 states/eV/cell.



Quick look at relative energies in eV/atom: w) 0.000; x) 0.033.



w) Tb2MgS4 | meta-GGA SCAN | PBEsol geometry

It has space group I-42d (No. 122), with a = 8.0571 Å, b = 8.0571 Å, c = 8.3927 Å, α = 90.00°, β = 90.00° and γ = 90.00°. Symmetry generates all atoms from Tb at (0.1281, 0.2500, 0.1250), Mg at (0.0000, 0.0000, 0.5000) and S at (0.0700, 0.1910, 0.8069).

For the density of states at the Fermi level, the calculation gives 0.00 states/eV/cell.



x) Tb2MgS4 | meta-GGA SCAN | PBEsol geometry

It has space group Pnma (No. 62), with a = 12.5143 Å, b = 3.8207 Å, c = 13.2072 Å, α = 90.00°, β = 90.00° and γ = 90.00°. Symmetry generates all atoms from Tb at (0.1176, 0.2500, 0.0769), Tb at (0.1377, 0.2500, 0.7056), Mg at (0.1131, 0.7500, 0.4506), S at (0.0084, 0.7500, 0.6162), S at (0.0282, 0.2500, 0.8840), S at (0.2255, 0.2500, 0.2522) and S at (0.2386, 0.2500, 0.5158).

For the density of states at the Fermi level, the calculation gives 0.00 states/eV/cell.



y) Tb2MgS4 | meta-GGA SCAN | PBEsol geometry

It has space group Cmc2_1 (No. 36), with a = 3.7605 Å, b = 12.3635 Å, c = 12.7475 Å, α = 90.00°, β = 90.00° and γ = 90.00°. Symmetry generates all atoms from Tb at (0.0000, 0.1190, 0.0000), Tb at (0.0000, 0.3615, 0.7982), Mg at (0.0000, 0.3743, 0.1623), S at (0.0000, 0.0133, 0.2095), S at (0.0000, 0.2602, 0.6105), S at (0.0000, 0.2908, 0.3519) and S at (0.0000, 0.4627, 0.9839).

For the density of states at the Fermi level, the calculation gives 0.00 states/eV/cell.



Quick look at relative energies in eV/atom: w) 0.071; x) 0.061; y) 0.000.



w) Mg3Sb2 | meta-GGA SCAN | PBEsol geometry

It has space group P-3m1 (No. 164), with a = 4.5570 Å, b = 4.5570 Å, c = 7.1924 Å, α = 90.00°, β = 90.00° and γ = 120.00°. Symmetry generates all atoms from Mg at (0.0000, 0.0000, 0.0000), Mg at (0.3333, 0.6667, 0.3675) and Sb at (0.3333, 0.6667, 0.7761).



x) Mg3Sb2 | meta-GGA SCAN | PBEsol geometry

It has space group Ia-3 (No. 206), with a = 13.2926 Å, b = 13.2926 Å, c = 13.2926 Å, α = 90.00°, β = 90.00° and γ = 90.00°. Symmetry generates all atoms from Mg at (0.1101, 0.1335, 0.6276), Sb at (0.0000, 0.0000, 0.0000) and Sb at (0.0000, 0.2500, 0.2660).

For the density of states at the Fermi level, the calculation gives 0.00 states/eV/cell.



Quick look at relative energies in eV/atom: w) 0.016; x) 0.000.



w) MgSbSe2 | meta-GGA SCAN | PBEsol geometry

It has space group C2/m (No. 12), with a = 7.5214 Å, b = 3.7307 Å, c = 6.8892 Å, α = 90.00°, β = 105.06° and γ = 90.00°. Symmetry generates all atoms from Mg at (0.0000, 0.0000, 0.0000), Sb at (0.0000, 0.5000, 0.5000) and Se at (0.2199, 0.5000, 0.2270).

For the density of states at the Fermi level, the calculation gives 2.33 states/eV/cell.



x) MgSbSe2 | meta-GGA SCAN | PBEsol geometry

It has space group R-3m (No. 166, hexagonal axes), with a = 4.0898 Å, b = 4.0898 Å, c = 24.9700 Å, α = 90.00°, β = 90.00° and γ = 120.00°. Symmetry generates all atoms from Mg at (0.0000, 0.0000, 0.0000), Sb at (0.0000, 0.0000, 0.5000) and Se at (0.0000, 0.0000, 0.1022).

For the density of states at the Fermi level, the calculation gives 6.03 states/eV/cell.



y) MgSbSe2 | meta-GGA SCAN | PBEsol geometry

It has space group Immm (No. 71), with a = 3.9502 Å, b = 6.5723 Å, c = 7.5298 Å, α = 90.00°, β = 90.00° and γ = 90.00°. Symmetry generates all atoms from Mg at (0.0000, 0.0000, 0.0000), Sb at (0.0000, 0.0000, 0.5000) and Se at (0.0000, 0.5000, 0.2638).

For the density of states at the Fermi level, the calculation gives 2.13 states/eV/cell.



Quick look at relative energies in eV/atom: w) 0.000; x) 0.342; y) 0.176.



w) MgSbSe2 | meta-GGA SCAN | PBEsol geometry

It has space group R-3m (No. 166, hexagonal axes), with a = 3.8355 Å, b = 3.8355 Å, c = 21.6200 Å, α = 90.00°, β = 90.00° and γ = 120.00°. Symmetry generates all atoms from Mg at (0.0000, 0.0000, 0.0000), Sb at (0.0000, 0.0000, 0.5000) and Se at (0.0000, 0.0000, 0.2599).

For the density of states at the Fermi level, the calculation gives 5.05 states/eV/cell.



x) MgSbSe2 | meta-GGA SCAN | PBEsol geometry

It has space group Amm2 (No. 38), with a = 4.3064 Å, b = 3.8618 Å, c = 11.2542 Å, α = 90.00°, β = 90.00° and γ = 90.00°. Symmetry generates all atoms from Mg at (0.0000, 0.0000, 0.0000), Sb at (0.5000, 0.0000, 0.7367), Se at (0.0000, 0.0000, 0.2367) and Se at (0.5000, 0.0000, 0.4978).

For the density of states at the Fermi level, the calculation gives 2.97 states/eV/cell.



Quick look at relative energies in eV/atom: w) 0.000; x) 0.015.



w) MgSb2Se | meta-GGA SCAN | PBEsol geometry

It has space group I4/mmm (No. 139), with a = 5.8673 Å, b = 5.8673 Å, c = 5.8700 Å, α = 90.00°, β = 90.00° and γ = 90.00°. Symmetry generates all atoms from Mg at (0.0000, 0.0000, 0.0000), Sb at (0.0000, 0.5000, 0.0000) and Se at (0.0000, 0.0000, 0.5000).

For the density of states at the Fermi level, the calculation gives 2.65 states/eV/cell.



x) MgSb2Se | meta-GGA SCAN | PBEsol geometry

It has space group Cm (No. 8), with a = 14.7583 Å, b = 3.4668 Å, c = 4.1132 Å, α = 90.00°, β = 104.86° and γ = 90.00°. Symmetry generates all atoms from Mg at (0.0000, 0.0000, 0.0000), Sb at (0.2456, 0.0000, 0.7813), Sb at (0.3969, 0.0000, 0.4034) and Se at (0.1357, 0.5000, 0.1436).

For the density of states at the Fermi level, the calculation gives 2.79 states/eV/cell.



Quick look at relative energies in eV/atom: w) 0.000; x) 0.086.



w) Sr2MgSb | meta-GGA SCAN | PBEsol geometry

It has space group I-4m2 (No. 119), with a = 4.8008 Å, b = 4.8008 Å, c = 11.3251 Å, α = 90.00°, β = 90.00° and γ = 90.00°. Symmetry generates all atoms from Sr at (0.0000, 0.0000, 0.0000), Sr at (0.0000, 0.5000, 0.2500), Mg at (0.0000, 0.0000, 0.5000) and Sb at (0.0000, 0.5000, 0.7500).

For the density of states at the Fermi level, the calculation gives 3.77 states/eV/cell.



x) Sr2MgSb | meta-GGA SCAN | PBEsol geometry

It has space group Amm2 (No. 38), with a = 4.6616 Å, b = 4.7717 Å, c = 12.4819 Å, α = 90.00°, β = 90.00° and γ = 90.00°. Symmetry generates all atoms from Sr at (0.0000, 0.0000, 0.0000), Sr at (0.5000, 0.0000, 0.2848), Mg at (0.0000, 0.0000, 0.7110) and Sb at (0.5000, 0.0000, 0.5640).

For the density of states at the Fermi level, the calculation gives 2.82 states/eV/cell.



Quick look at relative energies in eV/atom: w) 0.229; x) 0.000.



w) MgTa2Sb | meta-GGA SCAN | PBEsol geometry

It has space group P4/mmm (No. 123), with a = 3.5593 Å, b = 3.5593 Å, c = 5.9757 Å, α = 90.00°, β = 90.00° and γ = 90.00°. Symmetry generates all atoms from Mg at (0.0000, 0.0000, 0.0000), Ta at (0.5000, 0.5000, 0.2683) and Sb at (0.0000, 0.0000, 0.5000).

For the density of states at the Fermi level, the calculation gives 3.08 states/eV/cell.



x) MgTa2Sb | meta-GGA SCAN | PBEsol geometry

It has space group R3m (No. 160, hexagonal axes), with a = 3.2253 Å, b = 3.2253 Å, c = 27.7601 Å, α = 90.00°, β = 90.00° and γ = 120.00°. Symmetry generates all atoms from Mg at (0.0000, 0.0000, 0.0000), Ta at (0.0000, 0.0000, 0.2461), Ta at (0.0000, 0.0000, 0.5082) and Sb at (0.0000, 0.0000, 0.7614).

For the density of states at the Fermi level, the calculation gives 12.63 states/eV/cell.



Quick look at relative energies in eV/atom: w) 0.105; x) 0.000.



w) MgTlSb2 | meta-GGA SCAN | PBEsol geometry

It has space group Immm (No. 71), with a = 3.9739 Å, b = 5.0309 Å, c = 10.2771 Å, α = 90.00°, β = 90.00° and γ = 90.00°. Symmetry generates all atoms from Mg at (0.0000, 0.0000, 0.0000), Tl at (0.0000, 0.0000, 0.5000) and Sb at (0.0000, 0.5000, 0.2665).

For the density of states at the Fermi level, the calculation gives 3.84 states/eV/cell.



x) MgTlSb2 | meta-GGA SCAN | PBEsol geometry

It has space group P4/mmm (No. 123), with a = 3.3293 Å, b = 3.3293 Å, c = 9.4162 Å, α = 90.00°, β = 90.00° and γ = 90.00°. Symmetry generates all atoms from Mg at (0.0000, 0.0000, 0.0000), Tl at (0.0000, 0.0000, 0.5000) and Sb at (0.5000, 0.5000, 0.2179).

For the density of states at the Fermi level, the calculation gives 1.86 states/eV/cell.



Quick look at relative energies in eV/atom: w) 0.105; x) 0.000.